No. 1
ReC: relaxed, GGA-PBE. Values from VASP.

For the calculated total energy, the calculation gives -20.5 eV/f.u.

The structure in Quantum ESPRESSO input format:
```
&SYSTEM
  ibrav = 0, nat = 16, ntyp = 2
/
ATOMIC_SPECIES
Re 186.21 Re.upf
C 12.01 C.upf
CELL_PARAMETERS angstrom
-0.549 8.374 -1.750
-8.355 -0.902 -1.695
-0.738 0.641 3.298
ATOMIC_POSITIONS crystal
Re 0.791 0.354 0.500
Re 0.209 0.646 0.500
Re 0.646 0.791 0.500
Re 0.354 0.209 0.500
Re 0.868 0.593 0.000
Re 0.132 0.407 0.000
Re 0.407 0.868 0.000
Re 0.593 0.132 0.000
C 0.739 0.582 0.500
C 0.261 0.418 0.500
C 0.418 0.739 0.500
C 0.582 0.261 0.500
C 0.909 0.342 0.000
C 0.091 0.658 0.000
C 0.658 0.909 0.000
C 0.342 0.091 0.000
```

No. 2
Ac2NpCuS6: relaxed, GGA-PBE. Values from VASP.

Its energy relative to the elements, uncorrected is -139.4 kJ/mol of atoms. For the calculated total energy, the calculation gives -64.5 eV/f.u.

The structure in Quantum ESPRESSO input format:
```
&SYSTEM
  ibrav = 0, nat = 10, ntyp = 4
/
ATOMIC_SPECIES
Ac 227.00 Ac.upf
Np 237.00 Np.upf
Cu 63.55 Cu.upf
S 32.06 S.upf
CELL_PARAMETERS angstrom
-2.262 -1.088 6.614
5.017 -4.437 0.986
1.673 6.519 -2.415
ATOMIC_POSITIONS crystal
Ac 0.239 0.262 0.524
Ac 0.761 0.738 0.476
Np 0.000 0.500 0.000
Cu 0.500 0.000 0.000
S 0.355 0.750 0.500
S 0.200 0.186 0.886
S 0.800 0.299 0.114
S 0.200 0.701 0.886
S 0.800 0.814 0.114
S 0.645 0.250 0.500
```

No. 3
YTh2Zn4: relaxed, GGA-PBE. Values from VASP.

For the calculated total energy, the calculation gives -26.7 eV/f.u.

The structure in Quantum ESPRESSO input format:
```
&SYSTEM
  ibrav = 0, nat = 7, ntyp = 3
/
ATOMIC_SPECIES
Y 88.91 Y.upf
Th 232.04 Th.upf
Zn 65.41 Zn.upf
CELL_PARAMETERS angstrom
-0.952 0.853 -4.901
-0.588 -4.974 -0.752
-5.874 2.635 4.216
ATOMIC_POSITIONS crystal
Y 0.000 0.000 0.000
Th 0.736 0.736 0.471
Th 0.264 0.264 0.529
Zn 0.393 0.893 0.786
Zn 0.893 0.393 0.786
Zn 0.607 0.107 0.214
Zn 0.107 0.607 0.214
```

No. 4
Ac8Tl3In2: relaxed, GGA-PBE. Values from VASP.

For the calculated total energy, the calculation gives -47.8 eV/f.u.

The structure in Quantum ESPRESSO input format:
```
&SYSTEM
  ibrav = 0, nat = 13, ntyp = 3
/
ATOMIC_SPECIES
Ac 227.00 Ac.upf
Tl 204.38 Tl.upf
In 114.82 In.upf
CELL_PARAMETERS angstrom
-2.323 5.041 1.380
-0.016 -3.006 10.955
7.382 4.661 -4.600
ATOMIC_POSITIONS crystal
Ac 0.000 0.623 0.245
Ac 0.000 0.377 0.755
Ac 0.000 0.132 0.265
Ac 0.000 0.868 0.735
Ac 0.500 0.616 0.748
Ac 0.500 0.132 0.748
Ac 0.500 0.868 0.252
Ac 0.500 0.384 0.252
Tl 0.500 0.000 0.000
Tl 0.000 0.246 0.000
Tl 0.000 0.754 0.000
In 0.500 0.249 0.498
In 0.500 0.751 0.502
```

No. 5
Nd2Ge3Rh2: relaxed, GGA-PBE. Values from VASP.

For the calculated total energy, the calculation gives -43.9 eV/f.u.

The structure in Quantum ESPRESSO input format:
```
&SYSTEM
  ibrav = 0, nat = 14, ntyp = 3
/
ATOMIC_SPECIES
Nd 144.24 Nd.upf
Ge 72.64 Ge.upf
Rh 102.91 Rh.upf
CELL_PARAMETERS angstrom
0.736 0.339 -4.157
0.475 -7.124 -0.497
-9.431 -0.660 0.435
ATOMIC_POSITIONS crystal
Nd 0.159 0.250 0.318
Nd 0.841 0.750 0.682
Nd 0.943 0.250 0.887
Nd 0.057 0.750 0.113
Ge 0.222 0.750 0.444
Ge 0.778 0.250 0.556
Ge 0.563 0.433 0.126
Ge 0.437 0.567 0.874
Ge 0.437 0.933 0.874
Ge 0.563 0.067 0.126
Rh 0.694 0.950 0.388
Rh 0.306 0.050 0.612
Rh 0.306 0.450 0.612
Rh 0.694 0.550 0.388
```

No. 6
LiMgCr2: relaxed, GGA-PBE. Values from VASP.

For the calculated total energy, the calculation gives -21.7 eV/f.u.

The structure in Quantum ESPRESSO input format:
```
&SYSTEM
  ibrav = 0, nat = 4, ntyp = 3
/
ATOMIC_SPECIES
Cr 52.00 Cr.upf
Li 6.94 Li.upf
Mg 24.30 Mg.upf
CELL_PARAMETERS angstrom
3.036 0.000 0.000
0.000 3.032 0.375
0.000 2.178 7.256
ATOMIC_POSITIONS crystal
Cr 0.000 0.946 0.054
Cr 0.500 0.294 0.206
Li 0.000 0.529 0.471
Mg 0.500 0.730 0.769
```